DFT (GGA-PBE) results for crystalline BaPb8 at its relaxed geometry.

Cell lengths 8.079, 8.079, 8.079 Å; angles 95.79, 95.79, 142.95 degrees
Fractional coordinates of all 9 atoms:
Pb 0.318 0.682 0.000
Pb 0.318 0.318 0.636
Pb 0.000 0.655 0.655
Pb 0.000 0.345 0.345
Pb 0.682 0.682 0.364
Pb 0.345 0.000 0.345
Pb 0.655 0.000 0.655
Pb 0.682 0.318 0.000
Ba 0.000 0.000 0.000

Calculated values
The magnetic moment is 0.00 μB per atom. For the formation energy, the calculation gives -0.123 eV per atom.